A geometry-optimized LiAcMg2In2 structure. Source: the Alexandria database, functional GGA-PBE.

abc: 4.9073 4.9073 7.7245
angles: 90.00 90.00 120.00
Fractional coordinates of all 6 atoms:
Li1 0.0000 0.0000 0.0000
Ac1 0.0000 0.0000 0.5000
Mg1 0.3333 0.6667 0.1571
Mg2 0.6667 0.3333 0.8429
In1 0.3333 0.6667 0.7606
In2 0.6667 0.3333 0.2394

A geometry-optimized Li3Ac2Mg12In structure. Source: the Alexandria database, functional GGA-PBE.

abc: 9.7043 9.7043 9.7043
angles: 53.04 53.04 53.04
Fractional coordinates of all 18 atoms:
Li1 0.0000 0.5000 0.5000
Li2 0.5000 0.0000 0.5000
Li3 0.5000 0.5000 0.0000
Ac1 0.0788 0.0788 0.0788
Ac2 0.9212 0.9212 0.9212
Mg1 0.0491 0.6744 0.6744
Mg2 0.2882 0.2882 0.6343
Mg3 0.2882 0.6343 0.2882
Mg4 0.3256 0.3256 0.9509
Mg5 0.3256 0.9509 0.3256
Mg6 0.3657 0.7118 0.7118
Mg7 0.6343 0.2882 0.2882
Mg8 0.6744 0.0491 0.6744
Mg9 0.6744 0.6744 0.0491
Mg10 0.7118 0.3657 0.7118
Mg11 0.7118 0.7118 0.3657
Mg12 0.9509 0.3256 0.3256
In1 0.5000 0.5000 0.5000

no.,ρ (g cm⁻³),formation energy (kJ/mol of atoms)
1,5.28,-27
2,2.71,23